Here is a relaxed Ba2NbFePb crystal from Alexandria. Energies are from PBE.

```
5
Lattice="5.761 0.000 0.000 0.000 5.084 0.000 0.000 0.000 5.761" Properties=species:S:1:pos:R:3 pbc="T T T"
Pb 0.000 2.542 0.000
Nb 2.881 2.542 2.881
Ba 0.000 0.000 2.881
Ba 2.881 0.000 0.000
Fe 0.000 0.000 0.000
```

Output
- Symmetry: No. 123

***

Here is a relaxed BaNb2FeRh crystal from Alexandria. Energies are from PBE.

```
5
Lattice="-4.813 0.695 1.034 0.485 -2.584 3.993 1.139 4.125 2.531" Properties=species:S:1:pos:R:3 pbc="T T T"
Nb 0.569 2.062 1.265
Nb -2.407 0.347 0.517
Rh 0.000 0.000 0.000
Ba -1.595 1.118 3.779
Fe 0.242 -1.292 1.997
```

Output
- Symmetry: No. 123

***

no.,energy of formation (meV per atom)
1,948
2,1070